! Dy3MnNi8 (PBE, relaxed); values from VASP
! Magnetization in μB/f.u.: 5.1
! N(E_F) in states/eV per cell: 10.573
! VASP energy in Ry per atom: -0.4509
! E_form in eV per atom: -0.366
&SYSTEM
  ibrav = 0, nat = 12, ntyp = 3
/
ATOMIC_SPECIES
Dy 162.50 Dy.upf
Mn 54.94 Mn.upf
Ni 58.69 Ni.upf
ATOMIC_POSITIONS angstrom
Dy 0.000 0.000 0.000
Dy 0.000 0.000 3.145
Dy 0.000 0.000 15.053
Mn 0.000 0.000 12.066
Ni 0.000 -1.446 5.534
Ni -1.252 0.723 5.534
Ni -1.236 -0.713 9.684
Ni 0.000 0.000 7.608
Ni 1.252 0.723 5.534
Ni 1.236 -0.713 9.684
Ni 0.000 1.427 9.684
Ni 0.000 0.000 19.852
CELL_PARAMETERS angstrom
2.490 1.437 8.157
-2.490 1.437 8.157
0.000 -2.875 8.157

=====

! Dy3Mn2Ni7 (PBE, relaxed); values from VASP
! Magnetization in μB/f.u.: 7.9
! N(E_F) in states/eV per cell: 9.022
! VASP energy in Ry per atom: -0.4702
! E_form in eV per atom: -0.346
&SYSTEM
  ibrav = 0, nat = 12, ntyp = 3
/
ATOMIC_SPECIES
Dy 162.50 Dy.upf
Mn 54.94 Mn.upf
Ni 58.69 Ni.upf
ATOMIC_POSITIONS angstrom
Dy 0.000 0.000 0.000
Dy 0.000 0.000 3.382
Dy 0.000 0.000 20.893
Mn 0.000 0.000 8.078
Mn 0.000 0.000 16.197
Ni -1.262 -0.729 10.091
Ni 0.000 -1.457 14.184
Ni -1.262 0.729 14.184
Ni 0.000 0.000 12.137
Ni 1.262 -0.729 10.091
Ni 0.000 1.457 10.091
Ni 1.262 0.729 14.184
CELL_PARAMETERS angstrom
2.533 1.463 8.092
-2.533 1.463 8.092
0.000 -2.925 8.092

=====

! DyMnNi2 (PBE, relaxed); values from VASP
! Magnetization in μB/f.u.: 3.2
! Energy above the lowest structure with this stoichiometry in eV per atom: 0.000
! N(E_F) in states/eV per cell: 4.221
! VASP energy in Ry per atom: -0.4831
! E_form in eV per atom: -0.239
&SYSTEM
  ibrav = 0, nat = 4, ntyp = 3
/
ATOMIC_SPECIES
Dy 162.50 Dy.upf
Mn 54.94 Mn.upf
Ni 58.69 Ni.upf
ATOMIC_POSITIONS angstrom
Dy 0.000 0.000 0.000
Mn 0.000 0.000 6.823
Ni 0.000 0.000 2.764
Ni 0.000 0.000 10.882
CELL_PARAMETERS angstrom
2.049 1.183 4.549
-2.049 1.183 4.549
0.000 -2.366 4.549

=====

! DyMnNi5 (PBE, relaxed); values from VASP
! Magnetization in μB/f.u.: 5.1
! N(E_F) in states/eV per cell: 27.465
! VASP energy in Ry per atom: -0.4669
! E_form in eV per atom: -0.255
&SYSTEM
  ibrav = 0, nat = 28, ntyp = 3
/
ATOMIC_SPECIES
Dy 162.50 Dy.upf
Mn 54.94 Mn.upf
Ni 58.69 Ni.upf
ATOMIC_POSITIONS angstrom
Dy 1.949 1.204 0.586
Dy 1.994 3.611 5.567
Dy 5.892 1.204 4.395
Dy 5.937 3.611 9.377
Mn 1.107 3.611 8.535
Mn 2.836 1.204 3.553
Mn 5.050 3.611 6.409
Mn 6.779 1.204 1.428
Ni 0.403 3.611 0.942
Ni 0.524 0.022 3.067
Ni 0.524 2.385 3.067
Ni 0.771 1.204 5.155
Ni 1.476 1.204 7.480
Ni 2.467 3.611 2.499
Ni 3.172 3.611 0.173
Ni 3.419 2.429 8.048
Ni 3.419 4.793 8.048
Ni 3.540 1.204 5.924
Ni 4.346 3.611 4.039
Ni 4.468 0.022 1.914
Ni 4.468 2.385 1.914
Ni 4.714 1.204 9.789
Ni 5.419 1.204 7.464
Ni 6.410 3.611 2.482
Ni 7.115 3.611 4.808
Ni 7.362 2.429 6.896
Ni 7.362 4.793 6.896
Ni 7.483 1.204 9.020
CELL_PARAMETERS angstrom
7.886 0.000 0.000
0.000 4.815 0.000
0.000 0.000 9.963

=====

! DyMnNi2 (PBE, relaxed); values from VASP
! Magnetization in μB/f.u.: 0.1
! Energy above the lowest structure with this stoichiometry in eV per atom: 0.152
! N(E_F) in states/eV per cell: 15.060
! VASP energy in Ry per atom: -0.4719
! E_form in eV per atom: -0.087
&SYSTEM
  ibrav = 0, nat = 16, ntyp = 3
/
ATOMIC_SPECIES
Dy 162.50 Dy.upf
Mn 54.94 Mn.upf
Ni 58.69 Ni.upf
ATOMIC_POSITIONS angstrom
Dy 1.214 0.000 1.093
Dy 1.214 2.286 3.659
Dy 3.642 0.000 10.785
Dy 3.642 2.286 8.219
Mn 1.214 0.000 7.998
Mn 1.214 2.286 6.587
Mn 3.642 0.000 3.880
Mn 3.642 2.286 5.291
Ni 0.000 0.000 5.939
Ni 0.000 2.286 0.000
Ni 1.214 1.173 10.039
Ni 1.214 3.399 10.039
Ni 2.428 0.000 5.939
Ni 2.428 2.286 0.000
Ni 3.642 1.173 1.839
Ni 3.642 3.399 1.839
CELL_PARAMETERS angstrom
4.856 0.000 0.000
0.000 4.573 0.000
0.000 0.000 11.879

=====

! DyMnNi10 (PBE, relaxed); values from VASP
! Magnetization in μB/f.u.: 8.3
! N(E_F) in states/eV per cell: 13.229
! VASP energy in Ry per atom: -0.4452
! E_form in eV per atom: -0.091
&SYSTEM
  ibrav = 0, nat = 12, ntyp = 3
/
ATOMIC_SPECIES
Dy 162.50 Dy.upf
Mn 54.94 Mn.upf
Ni 58.69 Ni.upf
ATOMIC_POSITIONS angstrom
Dy 0.000 0.000 0.000
Mn 0.000 2.377 4.121
Ni 0.000 0.000 2.828
Ni 0.000 0.000 5.415
Ni 0.000 2.377 1.502
Ni 0.000 2.377 6.741
Ni 1.994 0.000 4.121
Ni 1.994 1.196 2.102
Ni 1.994 1.196 6.141
Ni 1.994 2.377 0.000
Ni 1.994 3.557 2.102
Ni 1.994 3.557 6.141
CELL_PARAMETERS angstrom
3.988 0.000 0.000
0.000 4.753 0.000
0.000 0.000 8.243

=====

! DyMnNi2 (PBE, relaxed); values from VASP
! Magnetization in μB/f.u.: 4.5
! Energy above the lowest structure with this stoichiometry in eV per atom: 0.111
! N(E_F) in states/eV per cell: 1.466
! VASP energy in Ry per atom: -0.4749
! E_form in eV per atom: -0.128
&SYSTEM
  ibrav = 0, nat = 4, ntyp = 3
/
ATOMIC_SPECIES
Dy 162.50 Dy.upf
Mn 54.94 Mn.upf
Ni 58.69 Ni.upf
ATOMIC_POSITIONS angstrom
Dy 0.000 0.000 0.000
Mn 0.000 0.000 3.103
Ni 1.590 1.590 1.812
Ni 1.590 1.590 4.394
CELL_PARAMETERS angstrom
3.180 0.000 0.000
0.000 3.180 0.000
0.000 0.000 6.206

=====

! Dy2MnNi4P3 (PBE, relaxed); values from VASP
! Magnetization in μB/f.u.: 3.7
! N(E_F) in states/eV per cell: 5.594
! VASP energy in Ry per atom: -0.4879
! E_form in eV per atom: -0.866
&SYSTEM
  ibrav = 0, nat = 10, ntyp = 4
/
ATOMIC_SPECIES
Dy 162.50 Dy.upf
Mn 54.94 Mn.upf
Ni 58.69 Ni.upf
P 30.97 P.upf
ATOMIC_POSITIONS angstrom
Dy 0.000 1.932 2.336
Dy 1.932 0.000 7.347
Mn 0.000 0.000 4.841
Ni 0.000 0.000 0.000
Ni 0.000 1.932 6.178
Ni 1.932 0.000 3.505
Ni 1.932 1.932 0.000
P 0.000 1.932 8.405
P 1.932 0.000 1.277
P 1.932 1.932 4.841
CELL_PARAMETERS angstrom
3.864 0.000 0.000
0.000 3.864 0.000
0.000 0.000 9.682

=====

! Dy2MnNi3P4 (PBE, relaxed); values from VASP
! Magnetization in μB/f.u.: 0.0
! N(E_F) in states/eV per cell: 4.669
! VASP energy in Ry per atom: -0.4906
! E_form in eV per atom: -0.940
&SYSTEM
  ibrav = 0, nat = 10, ntyp = 4
/
ATOMIC_SPECIES
Dy 162.50 Dy.upf
Mn 54.94 Mn.upf
Ni 58.69 Ni.upf
P 30.97 P.upf
ATOMIC_POSITIONS angstrom
Dy 0.000 1.972 2.233
Dy 1.972 0.000 6.973
Mn 0.000 0.000 4.603
Ni 0.000 1.972 8.107
Ni 1.972 0.000 1.099
Ni 1.972 1.972 4.603
P 0.000 0.000 0.000
P 0.000 1.972 5.823
P 1.972 0.000 3.382
P 1.972 1.972 0.000
CELL_PARAMETERS angstrom
3.943 0.000 0.000
0.000 3.943 0.000
0.000 0.000 9.205

=====

! Dy2MnNi12P3 (PBE, relaxed); values from VASP
! Magnetization in μB/f.u.: 5.1
! N(E_F) in states/eV per cell: 15.049
! VASP energy in Ry per atom: -0.4349
! E_form in eV per atom: -0.140
&SYSTEM
  ibrav = 0, nat = 18, ntyp = 4
/
ATOMIC_SPECIES
Dy 162.50 Dy.upf
Mn 54.94 Mn.upf
Ni 58.69 Ni.upf
P 30.97 P.upf
ATOMIC_POSITIONS angstrom
Dy 0.000 0.000 1.846
Dy 0.000 0.000 9.865
Mn 0.000 0.000 5.855
Ni 0.000 -2.353 3.297
Ni -2.037 1.176 3.297
Ni -2.077 -1.199 6.054
Ni 0.000 -2.398 5.657
Ni -2.077 1.199 5.657
Ni -2.037 -1.176 8.414
Ni 2.037 1.176 3.297
Ni 2.077 -1.199 6.054
Ni 0.000 2.398 6.054
Ni 2.077 1.199 5.657
Ni 2.037 -1.176 8.414
Ni 0.000 2.353 8.414
P -2.113 -1.220 3.904
P -2.113 1.220 7.807
P 0.000 2.440 3.904
CELL_PARAMETERS angstrom
4.226 2.440 3.904
-4.226 2.440 3.904
0.000 -4.880 3.904

=====

! Dy2MnSi4Ni3 (PBE, relaxed); values from VASP
! Formation energy from raw total energies in eV per atom: -0.777
! Magnetization in μB/f.u.: 1.6
! N(E_F) in states/eV per cell: 4.966
! VASP energy in Ry per atom: -0.4790
&SYSTEM
  ibrav = 0, nat = 10, ntyp = 4
/
ATOMIC_SPECIES
Dy 162.50 Dy.upf
Mn 54.94 Mn.upf
Si 28.09 Si.upf
Ni 58.69 Ni.upf
ATOMIC_POSITIONS angstrom
Dy 0.000 1.964 2.380
Dy 1.964 0.000 7.372
Mn 0.000 0.000 4.876
Si 0.000 0.000 0.000
Si 0.000 1.964 6.203
Si 1.964 0.000 3.549
Si 1.964 1.964 0.000
Ni 0.000 1.964 8.529
Ni 1.964 0.000 1.223
Ni 1.964 1.964 4.876
CELL_PARAMETERS angstrom
3.928 0.000 0.000
0.000 3.928 0.000
0.000 0.000 9.752

=====

! Dy2MnZn3Ni12 (PBE, relaxed); values from VASP
! Magnetization in μB/f.u.: 4.5
! N(E_F) in states/eV per cell: 16.760
! VASP energy in Ry per atom: -0.3660
! E_form in eV per atom: 0.107
&SYSTEM
  ibrav = 0, nat = 18, ntyp = 4
/
ATOMIC_SPECIES
Dy 162.50 Dy.upf
Mn 54.94 Mn.upf
Zn 65.41 Zn.upf
Ni 58.69 Ni.upf
ATOMIC_POSITIONS angstrom
Dy 0.000 0.000 3.895
Dy 0.000 0.000 21.977
Mn 0.000 0.000 12.936
Zn -1.488 -0.859 8.624
Zn -1.488 0.859 17.248
Zn 0.000 1.718 8.624
Ni 0.000 -2.090 7.281
Ni -1.810 1.045 7.281
Ni -1.292 -0.746 11.178
Ni -1.810 -1.045 18.590
Ni 0.000 -1.492 14.693
Ni -1.292 0.746 14.693
Ni 1.292 -0.746 11.178
Ni 0.000 1.492 11.178
Ni 1.810 1.045 7.281
Ni 1.292 0.746 14.693
Ni 1.810 -1.045 18.590
Ni 0.000 2.090 18.590
CELL_PARAMETERS angstrom
2.976 1.718 8.624
-2.976 1.718 8.624
0.000 -3.437 8.624

=====

! Dy2MnZn2Ni5 (PBE, relaxed); values from VASP
! Magnetization in μB/f.u.: 4.0
! N(E_F) in states/eV per cell: 11.368
! VASP energy in Ry per atom: -0.3824
! E_form in eV per atom: -0.220
&SYSTEM
  ibrav = 0, nat = 20, ntyp = 4
/
ATOMIC_SPECIES
Dy 162.50 Dy.upf
Mn 54.94 Mn.upf
Zn 65.41 Zn.upf
Ni 58.69 Ni.upf
ATOMIC_POSITIONS angstrom
Dy 1.644 2.969 0.000
Dy 2.969 7.582 0.000
Dy 6.257 1.644 0.000
Dy 7.582 6.257 0.000
Mn 0.000 0.000 0.000
Mn 4.613 4.613 0.000
Zn 1.103 5.716 0.000
Zn 3.510 1.103 0.000
Zn 5.716 8.124 0.000
Zn 8.124 3.510 0.000
Ni 0.000 4.613 1.779
Ni 0.538 7.379 1.779
Ni 1.848 0.538 1.779
Ni 2.765 5.151 1.779
Ni 4.075 2.765 1.779
Ni 4.613 0.000 1.779
Ni 5.151 6.461 1.779
Ni 6.461 4.075 1.779
Ni 7.379 8.689 1.779
Ni 8.689 1.848 1.779
CELL_PARAMETERS angstrom
9.227 0.000 0.000
0.000 9.227 0.000
0.000 0.000 3.558

=====

! DyNpMn4 (PBE, relaxed); values from VASP
! Magnetization in μB/f.u.: 6.4
! N(E_F) in states/eV per cell: 11.677
! VASP energy in Ry per atom: -0.6460
! E_form in eV per atom: 0.247
&SYSTEM
  ibrav = 0, nat = 6, ntyp = 3
/
ATOMIC_SPECIES
Dy 162.50 Dy.upf
Np 237.00 Np.upf
Mn 54.94 Mn.upf
ATOMIC_POSITIONS angstrom
Dy 0.000 0.000 0.000
Np 1.784 1.784 1.784
Mn 4.455 2.680 2.680
Mn 2.680 4.455 2.680
Mn 2.680 2.680 4.455
Mn 4.455 4.455 4.455
CELL_PARAMETERS angstrom
0.000 3.567 3.567
3.567 0.000 3.567
3.567 3.567 0.000